[1]
A geometry-optimized NaTcPt structure, computed with PBE-GGA.

Results
As for the energy above the lowest structure with this stoichiometry: 25 meV per atom. The formation energy is 72.5 meV/atom.

a = 7.6502 Å, b = 5.9984 Å, c = 2.7487 Å
α = 106.98°, β = 96.60°, γ = 66.91°
Sites, in units of the cell vectors:
Na1 0.3918 0.6394 0.7921
Na2 0.5934 0.0385 0.7936
Tc1 0.9926 0.6503 0.0109
Tc2 0.9927 0.0277 0.5749
Pt1 0.2024 0.2341 0.2932
Pt2 0.7829 0.4439 0.2925

***

[2]
A geometry-optimized SrLaGe3 structure, computed with PBE-GGA.

Results
The formation energy is -621.4 meV/atom.

a = 4.2017 Å, b = 4.5027 Å, c = 14.0883 Å
α = 99.20°, β = 90.00°, γ = 90.00°
Sites, in units of the cell vectors:
Sr1 0.2500 0.7975 0.5950
Sr2 0.7500 0.2025 0.4050
La1 0.2500 0.0714 0.1428
La2 0.7500 0.9286 0.8572
Ge1 0.2500 0.3810 0.7619
Ge2 0.7500 0.6190 0.2381
Ge3 0.2500 0.4745 0.9490
Ge4 0.7500 0.5255 0.0510
Ge5 0.7500 0.3257 0.6514
Ge6 0.2500 0.6743 0.3486

***

[3]
A geometry-optimized K3RbCa structure, computed with PBE-GGA.

Results
As for the energy above the lowest structure with this stoichiometry: 133 meV per atom. The formation energy is 442.4 meV/atom.

a = 7.3930 Å, b = 7.3930 Å, c = 7.3930 Å
α = 90.00°, β = 90.00°, γ = 90.00°
Sites, in units of the cell vectors:
Ca1 0.5000 0.5000 0.5000
K1 0.0000 0.5000 0.0000
K2 0.0000 0.0000 0.5000
K3 0.5000 0.0000 0.0000
Rb1 0.0000 0.0000 0.0000

***

[4]
A geometry-optimized ErAsPd5 structure, computed with PBE-GGA.

Results
The formation energy is -454.3 meV/atom.

a = 5.5915 Å, b = 5.5915 Å, c = 9.5484 Å
α = 67.72°, β = 67.72°, γ = 77.91°
Sites, in units of the cell vectors:
Er1 0.6767 0.3233 0.2500
Er2 0.3233 0.6767 0.7500
As1 0.0000 0.0000 0.0000
As2 0.0000 0.0000 0.5000
Pd1 0.6144 0.8309 0.2479
Pd2 0.2472 0.5245 0.4989
Pd3 0.8309 0.6144 0.7479
Pd4 0.0984 0.9016 0.2500
Pd5 0.4755 0.7528 0.0011
Pd6 0.5245 0.2472 0.9989
Pd7 0.9016 0.0984 0.7500
Pd8 0.1691 0.3856 0.2521
Pd9 0.7528 0.4755 0.5011
Pd10 0.3856 0.1691 0.7521

***

[5]
A geometry-optimized RbYW2 structure, computed with PBE-GGA.

Results
As for the energy above the lowest structure with this stoichiometry: 373 meV per atom. The formation energy is 2275.4 meV/atom.

a = 5.1491 Å, b = 5.1491 Å, c = 5.1491 Å
α = 60.00°, β = 60.00°, γ = 60.00°
Each line ends with the local moment (μB).
Sites, in units of the cell vectors:
Y1 0.5000 0.5000 0.5000  0.18
Rb1 0.0000 0.0000 0.0000  0.06
W1 0.2500 0.2500 0.2500  1.31
W2 0.7500 0.7500 0.7500  1.31

***

[6]
A geometry-optimized Rb2HgS6 structure, computed with PBE-GGA.

Results
The formation energy (no corrections) is -0.28 eV per atom.

a = 3.5249 Å, b = 9.5510 Å, c = 9.5522 Å
α = 120.11°, β = 90.00°, γ = 90.00°
Sites, in units of the cell vectors:
Rb1 0.5000 0.3336 0.6664
Rb2 0.5000 0.6664 0.3335
Hg1 0.0000 0.0000 0.0000
S1 0.0000 0.0003 0.6037
S2 0.0000 0.6037 0.0003
S3 0.9999 0.3963 0.3963
S4 0.0000 0.3963 0.9996
S5 0.0000 0.9997 0.3963
S6 0.0001 0.6037 0.6037